(1)
The following is a PBE-GGA calculation of crystalline Pm6PrNd3Ho2 at its relaxed geometry, from the Alexandria database.

Results
**Crystal system**: monoclinic

abc: 6.3093 6.3093 12.0851
angles: 95.01 95.01 119.99
Last column: nearest neighbours and their distance in Å.
Atoms (fractional coordinates):
Pm: 0.0826 0.4171 0.7524  2 Ho 3.62, 1 Pr 3.62, 6 Pm 3.64-3.66, 3 Nd 3.66-3.67
Pm: 0.2484 0.2484 0.2476  2 Ho 3.62, 1 Pr 3.62, 6 Pm 3.64-3.66, 3 Nd 3.66-3.67
Pm: 0.4171 0.0826 0.7524  2 Ho 3.62, 1 Pr 3.62, 6 Pm 3.64-3.66, 3 Nd 3.66-3.67
Pm: 0.5829 0.9174 0.2476  2 Ho 3.62, 1 Pr 3.62, 6 Pm 3.64-3.66, 3 Nd 3.66-3.67
Pm: 0.7516 0.7516 0.7524  2 Ho 3.62, 1 Pr 3.62, 6 Pm 3.64-3.66, 3 Nd 3.66-3.67
Pm: 0.9174 0.5829 0.2476  2 Ho 3.62, 1 Pr 3.62, 6 Pm 3.64-3.66, 3 Nd 3.66-3.67
Pr: 0.5000 0.5000 0.0000  6 Pm 3.62, 6 Ho 3.64
Nd: 0.0000 0.0000 0.5000  6 Nd 3.64, 6 Pm 3.66-3.67
Nd: 0.3330 0.6670 0.5000  6 Nd 3.64-3.65, 6 Pm 3.66-3.67
Nd: 0.6670 0.3330 0.5000  6 Nd 3.64-3.65, 6 Pm 3.66-3.67
Ho: 0.1666 0.8334 0.0000  6 Pm 3.62, 3 Ho 3.64, 3 Pr 3.64
Ho: 0.8334 0.1666 0.0000  6 Pm 3.62, 3 Ho 3.64, 3 Pr 3.64

***

(2)
The following is a PBE-GGA calculation of crystalline Pm2Pr6NdHo3 at its relaxed geometry, from the Alexandria database.

Results
**Crystal system**: monoclinic

abc: 6.3500 6.3500 12.0203
angles: 95.04 95.04 120.02
Last column: nearest neighbours and their distance in Å.
Atoms (fractional coordinates):
Pm: 0.1666 0.8334 0.0000  3 Pm 3.66-3.67, 3 Nd 3.67, 6 Pr 3.67-3.68
Pm: 0.8334 0.1666 0.0000  3 Pm 3.66-3.67, 3 Nd 3.67, 6 Pr 3.67-3.68
Pr: 0.0818 0.4153 0.7461  3 Ho 3.60, 6 Pr 3.66-3.67, 2 Pm 3.67-3.68, 1 Nd 3.68
Pr: 0.2512 0.2512 0.2540  3 Ho 3.60, 6 Pr 3.66-3.67, 1 Nd 3.68, 2 Pm 3.68
Pr: 0.4153 0.0818 0.7461  3 Ho 3.60, 6 Pr 3.66-3.67, 2 Pm 3.67-3.68, 1 Nd 3.68
Pr: 0.5847 0.9182 0.2539  3 Ho 3.60, 6 Pr 3.66-3.67, 2 Pm 3.67-3.68, 1 Nd 3.68
Pr: 0.7488 0.7488 0.7460  3 Ho 3.60, 6 Pr 3.66-3.67, 1 Nd 3.68, 2 Pm 3.68
Pr: 0.9182 0.5847 0.2539  3 Ho 3.60, 6 Pr 3.66-3.67, 2 Pm 3.67-3.68, 1 Nd 3.68
Nd: 0.5000 0.5000 0.0000  6 Pm 3.67, 6 Pr 3.68
Ho: 0.0000 0.0000 0.5000  6 Pr 3.60, 6 Ho 3.67
Ho: 0.3333 0.6667 0.5000  6 Pr 3.60, 6 Ho 3.66-3.67
Ho: 0.6667 0.3333 0.5000  6 Pr 3.60, 6 Ho 3.66-3.67

***

Number 1: DOS(E_F) 17.40 states/eV per cell, formation enthalpy at 0 K 0.2 eV per formula unit. Number 2: DOS(E_F) 15.16 states/eV per cell, formation enthalpy at 0 K 0.2 eV per formula unit.